one:
CsLaPb2: relaxed, PBE.

a = 5.9867 Å, b = 5.9867 Å, c = 5.9867 Å
α = 60.00°, β = 60.00°, γ = 60.00°
Element x y z (fractional)
Cs 0.0000 0.0000 0.0000
La 0.5000 0.5000 0.5000
Pb 0.2500 0.2500 0.2500
Pb 0.7500 0.7500 0.7500

Output
Its space group is Fm-3m, No. 225.

two:
CsLaPb2: relaxed, PBE.

a = 4.3888 Å, b = 4.3888 Å, c = 8.5097 Å
α = 90.00°, β = 90.00°, γ = 90.00°
Element x y z (fractional)
Cs 0.0000 0.0000 0.0000
La 0.0000 0.0000 0.5000
Pb 0.5000 0.5000 0.3196
Pb 0.5000 0.5000 0.6804

Output
Its space group is P4/mmm, No. 123.

According to the calculations, the structures order from most to least stable as two, one.

one:
CsLa2Pb2: relaxed, PBE.

a = 7.9166 Å, b = 7.9166 Å, c = 7.9166 Å
α = 138.47°, β = 138.47°, γ = 60.18°
Element x y z (fractional)
Cs 0.0000 0.0000 0.0000
La 0.2500 0.7500 0.5000
La 0.7500 0.2500 0.5000
Pb 0.3822 0.3822 0.0000
Pb 0.6178 0.6178 0.0000

Output
Its space group is I4/mmm, No. 139.

two:
CsLa2Pb2: relaxed, PBE.

a = 9.9265 Å, b = 9.9265 Å, c = 3.7104 Å
α = 90.00°, β = 90.00°, γ = 90.00°
Element x y z (fractional)
Cs 0.0000 0.0000 0.0000
Cs 0.5000 0.5000 0.0000
La 0.1289 0.3711 0.0000
La 0.3711 0.8711 0.0000
La 0.6289 0.1289 0.0000
La 0.8711 0.6289 0.0000
Pb 0.1665 0.6665 0.5000
Pb 0.3335 0.1665 0.5000
Pb 0.6665 0.8335 0.5000
Pb 0.8335 0.3335 0.5000

Output
Its space group is P4/mbm, No. 127.

According to the calculations, the structures order from most to least stable as two, one.

one:
CsLa2TcPb: relaxed, PBE.

a = 5.4928 Å, b = 5.4928 Å, c = 5.6881 Å
α = 90.00°, β = 90.00°, γ = 90.00°
Element x y z (fractional)
Cs 0.0000 0.0000 0.0000
La 0.0000 0.5000 0.5000
La 0.5000 0.0000 0.5000
Tc 0.0000 0.0000 0.5000
Pb 0.5000 0.5000 0.0000

Output
Its space group is P4/mmm, No. 123.

two:
CsLa2TcPb: relaxed, PBE.

a = 5.8647 Å, b = 5.8647 Å, c = 4.9295 Å
α = 90.00°, β = 90.00°, γ = 90.00°
Element x y z (fractional)
Cs 0.0000 0.0000 0.0000
La 0.0000 0.5000 0.0000
La 0.5000 0.0000 0.0000
Tc 0.0000 0.0000 0.5000
Pb 0.5000 0.5000 0.5000

Output
Its space group is P4/mmm, No. 123.

According to the calculations, the structures order from most to least stable as one, two.

one:
CsLaPd3: relaxed, PBE.

a = 5.4954 Å, b = 5.4954 Å, c = 5.4954 Å
α = 90.00°, β = 90.00°, γ = 90.00°
Element x y z (fractional)
Cs 0.0000 0.0000 0.0000
La 0.5000 0.5000 0.5000
Pd 0.0000 0.5000 0.5000
Pd 0.5000 0.0000 0.5000
Pd 0.5000 0.5000 0.0000

Output
Its space group is Pm-3m, No. 221.

two:
CsLaPd3: relaxed, PBE.

a = 5.2888 Å, b = 5.2888 Å, c = 5.2888 Å
α = 90.00°, β = 90.00°, γ = 90.00°
Element x y z (fractional)
Cs 0.0000 0.0000 0.0000
La 0.5000 0.5000 0.5000
Pd 0.0000 0.0000 0.5000
Pd 0.0000 0.5000 0.0000
Pd 0.5000 0.0000 0.0000

Output
Its space group is Pm-3m, No. 221.

According to the calculations, the structures order from most to least stable as one, two.

one:
CsRbLaZnS: relaxed, PBE.

a = 4.3546 Å, b = 4.3546 Å, c = 13.4523 Å
α = 98.07°, β = 98.07°, γ = 60.02°
Element x y z (fractional)
Cs 0.0000 0.0000 0.0000
Rb 0.8158 0.8158 0.3631
La 0.5828 0.5828 0.7093
Zn 0.2064 0.2064 0.5586
S 0.2822 0.2822 0.8234

Output
Its space group is Cm, No. 8.

two:
CsRbLaZnS: relaxed, PBE.

a = 4.6423 Å, b = 10.1591 Å, c = 10.1591 Å
α = 26.92°, β = 90.00°, γ = 90.00°
Element x y z (fractional)
Cs 0.0000 0.0000 0.0000
Rb 0.5000 0.6479 0.6479
La 0.5000 0.3360 0.3360
Zn 0.0000 0.7963 0.7963
S 0.5000 0.4678 0.4678

Output
Its space group is Amm2, No. 38.

three:
CsRbLaZnS: relaxed, PBE.

a = 4.4036 Å, b = 4.4054 Å, c = 13.3221 Å
α = 83.34°, β = 84.64°, γ = 60.08°
Element x y z (fractional)
Cs 0.0000 0.0000 0.0000
Rb 0.4238 0.5122 0.3666
La 0.7077 0.7477 0.7122
Zn 0.0610 0.1218 0.5693
S 0.3591 0.3839 0.8201

Output
Its space group is P1, No. 1.

According to the calculations, the structures order from most to least stable as three, one, two.

one:
CsLa3Rh: relaxed, PBE.

a = 5.7558 Å, b = 5.7558 Å, c = 5.7558 Å
α = 90.00°, β = 90.00°, γ = 90.00°
Element x y z (fractional)
Cs 0.0000 0.0000 0.0000
La 0.0000 0.0000 0.5000
La 0.0000 0.5000 0.0000
La 0.5000 0.0000 0.0000
Rh 0.5000 0.5000 0.5000

Output
Its space group is Pm-3m, No. 221.

two:
CsLa3Rh: relaxed, PBE.

a = 5.8533 Å, b = 5.8533 Å, c = 5.8533 Å
α = 90.00°, β = 90.00°, γ = 90.00°
Element x y z (fractional)
Cs 0.0000 0.0000 0.0000
La 0.0000 0.5000 0.5000
La 0.5000 0.0000 0.5000
La 0.5000 0.5000 0.0000
Rh 0.5000 0.5000 0.5000

Output
Its space group is Pm-3m, No. 221.

According to the calculations, the structures order from most to least stable as two, one.

one:
CsLaRu3: relaxed, PBE.

a = 4.9369 Å, b = 4.9369 Å, c = 4.9369 Å
α = 90.00°, β = 90.00°, γ = 90.00°
Element x y z (fractional)
Cs 0.0000 0.0000 0.0000
La 0.5000 0.5000 0.5000
Ru 0.0000 0.0000 0.5000
Ru 0.0000 0.5000 0.0000
Ru 0.5000 0.0000 0.0000

Output
Its space group is Pm-3m, No. 221.

two:
CsLaRu3: relaxed, PBE.

a = 5.1617 Å, b = 5.1617 Å, c = 5.1617 Å
α = 90.00°, β = 90.00°, γ = 90.00°
Element x y z (fractional)
Cs 0.0000 0.0000 0.0000
La 0.5000 0.5000 0.5000
Ru 0.0000 0.5000 0.5000
Ru 0.5000 0.0000 0.5000
Ru 0.5000 0.5000 0.0000

Output
Its space group is Pm-3m, No. 221.

According to the calculations, the structures order from most to least stable as two, one.

one:
CsLaSbTe2: relaxed, PBE.

a = 6.2501 Å, b = 6.2501 Å, c = 6.2525 Å
α = 90.00°, β = 90.00°, γ = 90.00°
Element x y z (fractional)
Cs 0.0000 0.0000 0.0000
La 0.5000 0.5000 0.5000
Sb 0.5000 0.5000 0.0000
Te 0.0000 0.5000 0.5000
Te 0.5000 0.0000 0.5000

Output
Its space group is P4/mmm, No. 123.

two:
CsLaSbTe2: relaxed, PBE.

a = 6.1291 Å, b = 6.1291 Å, c = 5.9941 Å
α = 90.00°, β = 90.00°, γ = 90.00°
Element x y z (fractional)
Cs 0.0000 0.0000 0.0000
La 0.5000 0.5000 0.5000
Sb 0.0000 0.0000 0.5000
Te 0.0000 0.5000 0.0000
Te 0.5000 0.0000 0.0000

Output
Its space group is P4/mmm, No. 123.

According to the calculations, the structures order from most to least stable as one, two.